1.
The following is a DFT calculation (PBE) of an optimized crystal structure of LiTm4Rh2.

Computed properties:
Volume   156.6 Å³ per cell
Energy above the lowest structure with this stoichiometry   0.0 meV/atom
Energy of formation from the pure elements   -590 meV/atom
Magnetic moment   0.00 μB/f.u.

Cell lengths 8.3355, 8.3355, 8.3355 Å; angles 33.43, 33.43, 33.43 degrees
Sites, in units of the cell vectors:
Li  0.0000  0.0000  0.0000
Tm  0.1278  0.1278  0.1278
Tm  0.3791  0.3791  0.3791
Tm  0.6209  0.6209  0.6209
Tm  0.8722  0.8722  0.8722
Rh  0.2525  0.2525  0.2525
Rh  0.7475  0.7475  0.7475

=====

2.
The following is a DFT calculation (PBE) of an optimized crystal structure of LiTm3Rh2.

Computed properties:
Volume   239.9 Å³ per cell
Energy above the lowest structure with this stoichiometry   0.0 meV/atom
Energy of formation from the pure elements   -696 meV/atom
Magnetic moment   0.00 μB/f.u.

Cell lengths 4.8181, 4.8181, 11.9342 Å; angles 90.00, 90.00, 120.00 degrees
Sites, in units of the cell vectors:
Li  0.3333  0.6667  0.1704
Li  0.6667  0.3333  0.8296
Tm  0.0000  0.0000  0.2581
Tm  0.0000  0.0000  0.7419
Tm  0.3333  0.6667  0.4228
Tm  0.3333  0.6667  0.9169
Tm  0.6667  0.3333  0.0831
Tm  0.6667  0.3333  0.5772
Rh  0.0000  0.0000  0.0000
Rh  0.0000  0.0000  0.5000
Rh  0.3333  0.6667  0.6705
Rh  0.6667  0.3333  0.3295

=====

3.
The following is a DFT calculation (PBE) of an optimized crystal structure of LiTm4Rh3.

Computed properties:
Volume   159.2 Å³ per cell
Energy of formation from the pure elements   -747 meV/atom
Magnetic moment   0.00 μB/f.u.

Cell lengths 7.6589, 7.6589, 7.6589 Å; angles 143.34, 143.34, 52.81 degrees
Sites, in units of the cell vectors:
Li  0.0000  0.0000  0.0000
Tm  0.1290  0.6290  0.5000
Tm  0.3710  0.8710  0.5000
Tm  0.6290  0.1290  0.5000
Tm  0.8710  0.3710  0.5000
Rh  0.2441  0.2441  0.0000
Rh  0.5000  0.5000  0.0000
Rh  0.7559  0.7559  0.0000

=====

4.
The following is a DFT calculation (PBE) of an optimized crystal structure of LiTm6Rh5.

Computed properties:
Volume   235.5 Å³ per cell
Energy of formation from the pure elements   -832 meV/atom
Magnetic moment   0.00 μB/f.u.

Cell lengths 8.3357, 8.3357, 4.7859 Å; angles 106.65, 106.65, 120.13 degrees
Sites, in units of the cell vectors:
Li  0.0000  0.0000  0.0000
Tm  0.0838  0.4235  0.2536
Tm  0.2580  0.2580  0.7581
Tm  0.4235  0.0838  0.2536
Tm  0.5765  0.9162  0.7464
Tm  0.7420  0.7420  0.2419
Tm  0.9162  0.5765  0.7464
Rh  0.1637  0.8363  0.5000
Rh  0.3330  0.6670  0.0000
Rh  0.5000  0.5000  0.5000
Rh  0.6670  0.3330  0.0000
Rh  0.8363  0.1637  0.5000

=====

5.
The following is a DFT calculation (PBE) of an optimized crystal structure of LiYTmRh.

Computed properties:
Volume   83.5 Å³ per cell
Energy of formation from the pure elements   -504 meV/atom
Magnetic moment   0.00 μB/f.u.

Cell lengths 4.9061, 4.9061, 4.9061 Å; angles 60.00, 60.00, 60.00 degrees
Sites, in units of the cell vectors:
Li  0.0000  0.0000  0.0000
Y  0.7500  0.7500  0.7500
Tm  0.2500  0.2500  0.2500
Rh  0.5000  0.5000  0.5000

=====

6.
The following is a DFT calculation (PBE) of an optimized crystal structure of LiYTm2Rh4.

Computed properties:
Volume   144.9 Å³ per cell
Energy of formation from the pure elements   -751 meV/atom
Magnetic moment   0.00 μB/f.u.

Cell lengths 8.1369, 8.1369, 8.1369 Å; angles 33.34, 33.34, 33.34 degrees
Sites, in units of the cell vectors:
Li  0.0000  0.0000  0.0000
Y  0.5000  0.5000  0.5000
Tm  0.2579  0.2579  0.2579
Tm  0.7421  0.7421  0.7421
Rh  0.1227  0.1227  0.1227
Rh  0.3758  0.3758  0.3758
Rh  0.6242  0.6242  0.6242
Rh  0.8773  0.8773  0.8773

=====

7.
The following is a DFT calculation (PBE) of an optimized crystal structure of LiTmZnRh.

Computed properties:
Volume   68.1 Å³ per cell
Energy of formation from the pure elements   -481 meV/atom
Magnetic moment   0.00 μB/f.u.

Cell lengths 4.5841, 4.5841, 4.5841 Å; angles 60.00, 60.00, 60.00 degrees
Sites, in units of the cell vectors:
Li  0.0000  0.0000  0.0000
Tm  0.7500  0.7500  0.7500
Zn  0.2500  0.2500  0.2500
Rh  0.5000  0.5000  0.5000

=====

8.
The following is a DFT calculation (PBE) of an optimized crystal structure of LiTmZrRh.

Computed properties:
Volume   76.6 Å³ per cell
Energy of formation from the pure elements   -401 meV/atom
Magnetic moment   0.00 μB/f.u.

Cell lengths 4.7676, 4.7676, 4.7676 Å; angles 60.00, 60.00, 60.00 degrees
Sites, in units of the cell vectors:
Li  0.0000  0.0000  0.0000
Tm  0.7500  0.7500  0.7500
Zr  0.2500  0.2500  0.2500
Rh  0.5000  0.5000  0.5000

=====

9.
The following is a DFT calculation (PBE) of an optimized crystal structure of LiURh2.

Computed properties:
Volume   66.6 Å³ per cell
Energy of formation from the pure elements   -407 meV/atom
Magnetic moment   1.20 μB/f.u.

Cell lengths 3.3499, 3.3499, 5.9307 Å; angles 90.00, 90.00, 90.00 degrees
Sites, in units of the cell vectors:
Li  0.0000  0.0000  0.0000
U  0.0000  0.0000  0.5000
Rh  0.5000  0.5000  0.2430
Rh  0.5000  0.5000  0.7570

=====

10.
The following is a DFT calculation (PBE) of an optimized crystal structure of LiURh2.

Computed properties:
Volume   64.9 Å³ per cell
Energy of formation from the pure elements   -479 meV/atom
Magnetic moment   1.45 μB/f.u.

Cell lengths 4.2163, 4.2163, 3.6521 Å; angles 90.00, 90.00, 90.00 degrees
Sites, in units of the cell vectors:
Li  0.0000  0.0000  0.0000
U  0.5000  0.5000  0.0000
Rh  0.0000  0.5000  0.5000
Rh  0.5000  0.0000  0.5000

=====

11.
The following is a DFT calculation (PBE) of an optimized crystal structure of LiU2Rh8.

Computed properties:
Volume   178.7 Å³ per cell
Energy of formation from the pure elements   -384 meV/atom
Magnetic moment   0.00 μB/f.u.

Cell lengths 7.2525, 7.2525, 7.2525 Å; angles 148.15, 115.53, 73.72 degrees
Sites, in units of the cell vectors:
Li  0.0000  0.0000  0.0000
U  0.3434  0.3434  0.0000
U  0.6566  0.6566  0.0000
Rh  0.0923  0.8370  0.2553
Rh  0.1682  0.6682  0.5000
Rh  0.2597  0.5000  0.7597
Rh  0.4183  0.1630  0.2553
Rh  0.5817  0.8370  0.7447
Rh  0.7403  0.5000  0.2403
Rh  0.8318  0.3318  0.5000
Rh  0.9077  0.1630  0.7447

=====

12.
The following is a DFT calculation (PBE) of an optimized crystal structure of Li2URh4.

Computed properties:
Volume   109.4 Å³ per cell
Energy of formation from the pure elements   -195 meV/atom
Magnetic moment   0.00 μB/f.u.

Cell lengths 5.2218, 5.2218, 5.2218 Å; angles 108.10, 108.10, 112.25 degrees
Sites, in units of the cell vectors:
Li  0.0000  0.5000  0.5000
Li  0.5000  0.0000  0.5000
U  0.0000  0.0000  0.0000
Rh  0.0000  0.0000  0.5000
Rh  0.0000  0.5000  0.0000
Rh  0.5000  0.0000  0.0000
Rh  0.5000  0.5000  0.5000

=====

13.
The following is a DFT calculation (PBE) of an optimized crystal structure of Li2URh5.

Computed properties:
Volume   115.8 Å³ per cell
Energy of formation from the pure elements   -428 meV/atom
Magnetic moment   0.00 μB/f.u.

Cell lengths 7.4772, 7.4772, 7.4772 Å; angles 148.18, 148.18, 45.62 degrees
Sites, in units of the cell vectors:
Li  0.2478  0.2478  0.0000
Li  0.7522  0.7522  0.0000
U  0.0000  0.0000  0.0000
Rh  0.1341  0.6341  0.5000
Rh  0.3659  0.8659  0.5000
Rh  0.5000  0.5000  0.0000
Rh  0.6341  0.1341  0.5000
Rh  0.8659  0.3659  0.5000

=====

14.
The following is a DFT calculation (PBE) of an optimized crystal structure of LiURh6.

Computed properties:
Volume   120.4 Å³ per cell
Energy of formation from the pure elements   -389 meV/atom
Magnetic moment   0.00 μB/f.u.

Cell lengths 5.5616, 5.5616, 3.8910 Å; angles 90.00, 90.00, 90.00 degrees
Sites, in units of the cell vectors:
Li  0.0000  0.0000  0.0000
U  0.5000  0.5000  0.0000
Rh  0.0000  0.5000  0.0000
Rh  0.2457  0.2457  0.5000
Rh  0.2457  0.7543  0.5000
Rh  0.5000  0.0000  0.0000
Rh  0.7543  0.2457  0.5000
Rh  0.7543  0.7543  0.5000

=====

15.
The following is a DFT calculation (PBE) of an optimized crystal structure of Li3URh4.

Computed properties:
Volume   115.3 Å³ per cell
Energy of formation from the pure elements   -424 meV/atom
Magnetic moment   0.00 μB/f.u.

Cell lengths 4.1040, 4.1040, 6.8439 Å; angles 90.00, 90.00, 90.00 degrees
Sites, in units of the cell vectors:
Li  0.0000  0.0000  0.0000
Li  0.0000  0.0000  0.5000
Li  0.5000  0.5000  0.0000
U  0.5000  0.5000  0.5000
Rh  0.0000  0.5000  0.2481
Rh  0.0000  0.5000  0.7519
Rh  0.5000  0.0000  0.2481
Rh  0.5000  0.0000  0.7519

=====

16.
The following is a DFT calculation (PBE) of an optimized crystal structure of Li5URh6.

Computed properties:
Volume   164.4 Å³ per cell
Energy of formation from the pure elements   -346 meV/atom
Magnetic moment   0.00 μB/f.u.

Cell lengths 6.6326, 6.6326, 6.0646 Å; angles 90.00, 90.00, 141.95 degrees
Sites, in units of the cell vectors:
Li  0.0000  0.0000  0.0000
Li  0.3264  0.6736  0.5000
Li  0.3309  0.6691  0.0000
Li  0.6691  0.3309  0.0000
Li  0.6736  0.3264  0.5000
U  0.0000  0.0000  0.5000
Rh  0.1638  0.8362  0.2490
Rh  0.1638  0.8362  0.7510
Rh  0.5000  0.5000  0.2401
Rh  0.5000  0.5000  0.7599
Rh  0.8362  0.1638  0.2490
Rh  0.8362  0.1638  0.7510

=====

17.
The following is a DFT calculation (PBE) of an optimized crystal structure of LiURh2.

Computed properties:
Volume   64.4 Å³ per cell
Energy of formation from the pure elements   -129 meV/atom
Magnetic moment   1.41 μB/f.u.

Cell lengths 9.0902, 9.0902, 9.0902 Å; angles 18.25, 18.25, 18.25 degrees
Sites, in units of the cell vectors:
Li  0.0000  0.0000  0.0000
U  0.5000  0.5000  0.5000
Rh  0.2550  0.2550  0.2550
Rh  0.7450  0.7450  0.7450

=====

18.
The following is a DFT calculation (PBE) of an optimized crystal structure of LiV2Rh2.

Computed properties:
Volume   148.5 Å³ per cell
Energy above the lowest structure with this stoichiometry   15.2 meV/atom
Energy of formation from the pure elements   -187 meV/atom
Magnetic moment   0.00 μB/f.u.

Cell lengths 7.4108, 7.4108, 2.7037 Å; angles 90.00, 90.00, 90.00 degrees
Sites, in units of the cell vectors:
Li  0.0000  0.0000  0.0000
Li  0.5000  0.5000  0.0000
V  0.1469  0.3531  0.0000
V  0.3531  0.8531  0.0000
V  0.6469  0.1469  0.0000
V  0.8531  0.6469  0.0000
Rh  0.1482  0.6482  0.5000
Rh  0.3518  0.1482  0.5000
Rh  0.6482  0.8518  0.5000
Rh  0.8518  0.3518  0.5000

=====

19.
The following is a DFT calculation (PBE) of an optimized crystal structure of LiV2Rh2.

Computed properties:
Volume   148.3 Å³ per cell
Energy above the lowest structure with this stoichiometry   0.0 meV/atom
Energy of formation from the pure elements   -202 meV/atom
Magnetic moment   0.00 μB/f.u.

Cell lengths 7.3664, 7.3664, 2.7332 Å; angles 90.00, 90.00, 90.00 degrees
Sites, in units of the cell vectors:
Li  0.0000  0.0000  0.0000
Li  0.5000  0.5000  0.0000
V  0.1536  0.3464  0.5000
V  0.3464  0.8464  0.5000
V  0.6536  0.1536  0.5000
V  0.8464  0.6536  0.5000
Rh  0.1426  0.6426  0.0000
Rh  0.3574  0.1426  0.0000
Rh  0.6426  0.8574  0.0000
Rh  0.8574  0.3574  0.0000

=====

20.
The following is a DFT calculation (PBE) of an optimized crystal structure of Li3V2Rh4.

Computed properties:
Volume   117.5 Å³ per cell
Energy of formation from the pure elements   -311 meV/atom
Magnetic moment   0.00 μB/f.u.

Cell lengths 4.1326, 4.1326, 7.9470 Å; angles 90.00, 90.00, 120.00 degrees
Sites, in units of the cell vectors:
Li  0.0000  0.0000  0.0000
Li  0.3333  0.6667  0.4484
Li  0.6667  0.3333  0.5516
V  0.3333  0.6667  0.7839
V  0.6667  0.3333  0.2161
Rh  0.0000  0.0000  0.3286
Rh  0.0000  0.0000  0.6714
Rh  0.3333  0.6667  0.1091
Rh  0.6667  0.3333  0.8909

=====

21.
The following is a DFT calculation (PBE) of an optimized crystal structure of LiV2Rh3.

Computed properties:
Volume   80.0 Å³ per cell
Energy of formation from the pure elements   -351 meV/atom
Magnetic moment   0.00 μB/f.u.

Cell lengths 2.8672, 2.8672, 9.7265 Å; angles 90.00, 90.00, 90.00 degrees
Sites, in units of the cell vectors:
Li  0.0000  0.0000  0.0000
V  0.0000  0.0000  0.3184
V  0.0000  0.0000  0.6816
Rh  0.5000  0.5000  0.1611
Rh  0.5000  0.5000  0.5000
Rh  0.5000  0.5000  0.8389

=====

22.
The following is a DFT calculation (PBE) of an optimized crystal structure of LiV4Rh5.

Computed properties:
Volume   135.9 Å³ per cell
Energy of formation from the pure elements   -335 meV/atom
Magnetic moment   0.20 μB/f.u.

Cell lengths 2.7826, 2.7826, 17.5450 Å; angles 90.00, 90.00, 90.00 degrees
Sites, in units of the cell vectors:
Li  0.0000  0.0000  0.0000
V  0.0000  0.0000  0.1901
V  0.0000  0.0000  0.3971
V  0.0000  0.0000  0.6029
V  0.0000  0.0000  0.8099
Rh  0.5000  0.5000  0.0976
Rh  0.5000  0.5000  0.2939
Rh  0.5000  0.5000  0.5000
Rh  0.5000  0.5000  0.7061
Rh  0.5000  0.5000  0.9024

=====

23.
The following is a DFT calculation (PBE) of an optimized crystal structure of LiV2Rh7.

Computed properties:
Volume   174.8 Å³ per cell
Energy of formation from the pure elements   411 meV/atom
Magnetic moment   0.00 μB/f.u.

Cell lengths 6.9843, 6.9843, 4.1338 Å; angles 90.00, 90.00, 119.92 degrees
Sites, in units of the cell vectors:
Li  0.0000  0.0000  0.0000
V  0.2968  0.7032  0.5000
V  0.7032  0.2968  0.5000
Rh  0.0790  0.3081  0.5000
Rh  0.2029  0.7971  0.0000
Rh  0.3081  0.0790  0.5000
Rh  0.5000  0.5000  0.5000
Rh  0.6919  0.9210  0.5000
Rh  0.7971  0.2029  0.0000
Rh  0.9210  0.6919  0.5000

=====

24.
The following is a DFT calculation (PBE) of an optimized crystal structure of LiV6Rh12.

Computed properties:
Volume   267.8 Å³ per cell
Energy of formation from the pure elements   -234 meV/atom
Magnetic moment   0.00 μB/f.u.

Cell lengths 6.4465, 6.4465, 6.4465 Å; angles 89.13, 89.13, 89.13 degrees
Sites, in units of the cell vectors:
Li  0.0000  0.0000  0.0000
V  0.1089  0.2933  0.7338
V  0.2662  0.8911  0.7067
V  0.2933  0.7338  0.1089
V  0.7067  0.2662  0.8911
V  0.7338  0.1089  0.2933
V  0.8911  0.7067  0.2662
Rh  0.0028  0.3490  0.1435
Rh  0.1435  0.0028  0.3490
Rh  0.2042  0.5657  0.4551
Rh  0.3490  0.1435  0.0028
Rh  0.4343  0.5449  0.7958
Rh  0.4551  0.2042  0.5657
Rh  0.5449  0.7958  0.4343
Rh  0.5657  0.4551  0.2042
Rh  0.6510  0.8565  0.9972
Rh  0.7958  0.4343  0.5449
Rh  0.8565  0.9972  0.6510
Rh  0.9972  0.6510  0.8565